1.
The following is a PBE-GGA calculation of a geometry-optimized Ca2NbCr structure, from Alexandria via LeMat-Bulk.

Geometry as POSCAR:
```
Ca2NbCr
1.0
0.0000 3.5900 3.5900
3.5900 0.0000 3.5900
3.5900 3.5900 0.0000
Ca Nb Cr
2 1 1
direct
0.2500 0.2500 0.2500
0.7500 0.7500 0.7500
0.0000 0.0000 0.0000
0.5000 0.5000 0.5000
```

## Properties
- Formation energy: 1.38 eV/atom
- Density of states at the Fermi level: 8.8 states/eV/f.u.
- Space group: Fm-3m (225)

2.
The following is a PBE-GGA calculation of a geometry-optimized Zn3WCl structure, from Alexandria via LeMat-Bulk.

Geometry as POSCAR:
```
Zn3WCl
1.0
5.1718 0.0000 0.0000
0.0000 5.1718 0.0000
0.0000 0.0000 5.1718
Zn W Cl
3 1 1
direct
0.0000 0.0000 0.5000
0.0000 0.5000 0.0000
0.5000 0.0000 0.0000
0.0000 0.0000 0.0000
0.5000 0.5000 0.5000
```

## Properties
- Density of states at the Fermi level: 1.8 states/eV/f.u.
- Space group: Pm-3m (221)
- Raw formation energy: 1013.5 meV per atom